## Y4MnPb (GGA-PBE)

Data for Y4MnPb after structural relaxation.

Geometry as POSCAR:
```
Y4MnPb
1.0
0.000 4.476 4.476
4.476 0.000 4.476
4.476 4.476 0.000
Mn Pb Y
1 1 4
Direct
0.750 0.750 0.750
0.000 0.000 0.000
0.375 0.874 0.375
0.874 0.375 0.375
0.375 0.375 0.874
0.375 0.375 0.375
```

mass density: 5.7 g/cm³
energy of formation from the pure elements: 2.8 eV per formula unit
final energy: -5.98 eV per atom



## Mn2ZnPb (GGA-PBE)

Data for Mn2ZnPb after structural relaxation.

Geometry as POSCAR:
```
Mn2ZnPb
1.0
-4.683 0.531 -0.402
-4.007 -2.513 0.026
-1.508 0.379 5.078
Mn Pb Zn
2 1 1
Direct
0.992 0.992 0.040
0.508 0.508 0.460
0.750 0.750 0.750
0.250 0.250 0.250
```

energy above the lowest structure with this stoichiometry: 0.17 eV/f.u.
mass density: 8.7 g/cm³
energy of formation from the pure elements: 1.6 eV per formula unit
final energy: -5.44 eV per atom



## MnZnPb (GGA-PBE)

Data for MnZnPb after structural relaxation.

Geometry as POSCAR:
```
MnZnPb
1.0
4.514 0.000 0.000
2.257 3.909 0.000
2.257 1.303 3.686
Mn Zn Pb
1 1 1
Direct
0.750 0.750 0.750
0.500 0.500 0.500
0.000 0.000 0.000
```

energy above the lowest structure with this stoichiometry: 0.06 eV/f.u.
mass density: 8.4 g/cm³
energy of formation from the pure elements: 1.0 eV per formula unit
final energy: -4.38 eV per atom



## MnZnPb (GGA-PBE)

Data for MnZnPb after structural relaxation.

Geometry as POSCAR:
```
MnZnPb
1.0
-3.826 -1.354 1.877
3.425 -2.847 -0.399
1.214 1.011 3.204
Pb Zn Mn
1 1 1
Direct
0.333 0.667 0.337
0.667 0.333 0.769
0.000 0.000 0.895
```

energy above the lowest structure with this stoichiometry: 0.19 eV/f.u.
mass density: 8.8 g/cm³
energy of formation from the pure elements: 1.1 eV per formula unit
final energy: -4.34 eV per atom



## Mn4ZnPb (GGA-PBE)

Data for Mn4ZnPb after structural relaxation.

Geometry as POSCAR:
```
Mn4ZnPb
1.0
-4.385 -2.273 -0.043
-4.096 2.515 1.136
-3.299 1.065 -3.518
Pb Mn Zn
1 4 1
Direct
0.750 0.750 0.750
0.374 0.374 0.374
0.879 0.374 0.374
0.374 0.374 0.879
0.374 0.879 0.374
0.000 0.000 0.000
```

mass density: 9.6 g/cm³
energy of formation from the pure elements: 2.9 eV per formula unit
final energy: -6.46 eV per atom



## Mn2ZnPb (GGA-PBE)

Data for Mn2ZnPb after structural relaxation.

Geometry as POSCAR:
```
Mn2ZnPb
1.0
-0.515 -0.941 -4.811
2.011 -4.388 -1.000
-3.263 1.396 3.421
Pb Mn Zn
1 2 1
Direct
0.750 0.250 0.500
0.500 0.500 0.000
0.000 0.000 0.000
0.250 0.750 0.500
```

energy above the lowest structure with this stoichiometry: 0.00 eV/f.u.
mass density: 9.7 g/cm³
energy of formation from the pure elements: 1.4 eV per formula unit
final energy: -5.48 eV per atom



## MnZnPb2 (GGA-PBE)

Data for MnZnPb2 after structural relaxation.

Geometry as POSCAR:
```
MnZnPb2
1.0
-3.024 -0.472 4.478
-4.823 -1.807 -1.701
5.015 -1.904 -0.801
Zn Pb Mn
1 2 1
Direct
0.750 0.250 0.500
0.004 0.004 0.000
0.496 0.496 0.000
0.250 0.750 0.500
```

mass density: 9.6 g/cm³
energy of formation from the pure elements: 1.5 eV per formula unit
final energy: -4.10 eV per atom



## MnZnPb2 (GGA-PBE)

Data for MnZnPb2 after structural relaxation.

Geometry as POSCAR:
```
MnZnPb2
1.0
4.994 0.001 -0.008
3.781 3.263 -0.008
1.256 0.467 5.798
Pb Mn Zn
2 1 1
Direct
0.998 0.998 0.004
0.502 0.502 0.496
0.250 0.250 0.250
0.750 0.750 0.750
```

mass density: 9.4 g/cm³
energy of formation from the pure elements: 1.5 eV per formula unit
final energy: -4.08 eV per atom